[1]
First-principles (PBE) data for crystalline TiTc2I at its relaxed geometry, as listed in the Alexandria database.

Lattice parameters (Å, degrees): 3.894 3.894 19.850 90.00 90.00 90.00
Space group I-42d (No. 122)
Inequivalent atoms, fractional coordinates:
Ti (0.000, 0.000, 0.000) [4 per cell]
Tc (0.190, 0.250, 0.125) [8 per cell]
I (0.000, 0.000, 0.500) [4 per cell]

## Properties
Relative energy among the computed polymorphs: 1.266 eV per formula unit
Uncorrected energy: -6.794 eV per atom



[2]
First-principles (PBE) data for crystalline Tb5ErZn6 at its relaxed geometry, as listed in the Alexandria database.

Lattice parameters (Å, degrees): 5.045 15.144 7.180 90.00 90.00 90.00
Space group Cmmm (No. 65)
Inequivalent atoms, fractional coordinates:
Tb (0.000, 0.000, 0.000) [2 per cell]
Tb (0.000, 0.333, 0.000) [4 per cell]
Tb (0.000, 0.334, 0.500) [4 per cell]
Er (0.000, 0.000, 0.500) [2 per cell]
Zn (0.000, 0.165, 0.252) [8 per cell]
Zn (0.000, 0.500, 0.253) [4 per cell]

## Properties
Energy of formation: -0.34 eV/atom
Uncorrected energy: -3.285 eV per atom



[3]
First-principles (PBE) data for crystalline Hf6Mn2Bi at its relaxed geometry, as listed in the Alexandria database.

Lattice parameters (Å, degrees): 8.759 8.912 9.460 90.00 90.00 90.00
Space group Immm (No. 71)
Inequivalent atoms, fractional coordinates:
Hf (0.000, 0.224, 0.247) [8 per cell]
Hf (0.189, 0.500, 0.178) [8 per cell]
Hf (0.220, 0.304, 0.500) [8 per cell]
Mn (0.000, 0.340, 0.000) [4 per cell]
Mn (0.000, 0.500, 0.390) [4 per cell]
Bi (0.000, 0.000, 0.000) [2 per cell]
Bi (0.000, 0.000, 0.500) [2 per cell]

## Properties
Energy of formation: -0.04 eV/atom
Uncorrected energy: -9.149 eV per atom